1.
VASP calculation (PBE) on a relaxed structure of Sn2IrOs.

Properties
Total energy in eV per atom: -6.723
ΔE to the lowest computed polymorph in meV per atom: 0

Cell lengths 6.5478, 6.5478, 6.5478 Å; angles 90.00, 90.00, 90.00 degrees
Space group Fm-3m (No. 225)
Symmetry-distinct sites (fractional):
Sn (0.2500, 0.2500, 0.2500)
Ir (0.0000, 0.0000, 0.0000)
Os (0.0000, 0.0000, 0.5000)


2.
VASP calculation (PBE) on a relaxed structure of BaLiSiRh.

Properties
Total energy in eV per atom: -4.686

Cell lengths 4.1225, 4.1225, 12.6034 Å; angles 90.00, 90.00, 90.00 degrees
Space group P4/nmm (No. 129, origin choice 2)
Symmetry-distinct sites (fractional):
Ba (0.2500, 0.2500, 0.2348)
Li (0.2500, 0.7500, 0.5000)
Si (0.2500, 0.2500, 0.9042)
Rh (0.2500, 0.7500, 0.0000)


3.
VASP calculation (PBE) on a relaxed structure of NdTl2S3.

Properties
Total energy in eV per atom: -4.089

Cell lengths 11.9111, 11.2313, 5.7930 Å; angles 90.00, 90.00, 90.00 degrees
Space group Cmcm (No. 63)
Symmetry-distinct sites (fractional):
Nd (0.0000, 0.1096, 0.2500)
Tl (0.1649, 0.5000, 0.0000)
S (0.0000, 0.3488, 0.7500)
S (0.1249, 0.0900, 0.7500)


4.
VASP calculation (PBE) on a relaxed structure of PrHo3.

Properties
Total energy in eV per atom: -4.608
ΔE to the lowest computed polymorph in meV per atom: 5

Cell lengths 3.6511, 11.4152, 6.2653 Å; angles 90.00, 90.00, 90.00 degrees
Space group Imm2 (No. 44)
Symmetry-distinct sites (fractional):
Pr (0.0000, 0.0000, 0.0000)
Ho (0.0000, 0.2475, 0.6620)
Ho (0.0000, 0.5000, 0.9960)


no.,N(E_F) (states/eV/atom),total magnetic moment (μB/cell)
1,1.02,2.53
2,0.66,0.00
3,0.51,0.00
4,1.70,0.00